Entry 1:
Here is an optimized crystal structure of YBeIr2Rh from Alexandria via LeMat-Bulk. Energies are from GGA-PBE.

a b c (Å): 4.2722 4.2722 4.2558
angles (deg): 90.00 90.00 90.00
Closest atoms and distances in Å follow each position.
Fractional coordinates of all 5 atoms:
Y (0.5000, 0.5000, 0.5000)  8 Ir 3.02, 4 Rh 3.02
Be (0.0000, 0.0000, 0.0000)  2 Rh 2.13, 4 Ir 2.14
Ir (0.0000, 0.5000, 0.0000)  2 Be 2.14
Ir (0.5000, 0.0000, 0.0000)  2 Be 2.14
Rh (0.0000, 0.0000, 0.5000)  2 Be 2.13

## Properties
Symmetry = No. 123
Excess energy over the best structure of this formula in the dataset = 0 meV/atom

=====

Entry 2:
Here is an optimized crystal structure of Ce2ScGe3Rh4 from Alexandria via LeMat-Bulk. Energies are from GGA-PBE.

a b c (Å): 4.1226 4.1226 11.0472
angles (deg): 90.00 90.00 90.00
Closest atoms and distances in Å follow each position.
Fractional coordinates of all 10 atoms:
Ce (0.5000, 0.0000, 0.2393)  8 Rh 3.15-3.35, 4 Ge 3.18
Ce (0.0000, 0.5000, 0.7607)  8 Rh 3.15-3.35, 4 Ge 3.18
Sc (0.5000, 0.5000, 0.5000)  4 Rh 2.66, 4 Ge 2.92
Ge (0.0000, 0.0000, 0.5000)  4 Rh 2.66, 4 Sc 2.92
Ge (0.5000, 0.0000, 0.8752)  5 Rh 2.47-2.48
Ge (0.0000, 0.5000, 0.1248)  5 Rh 2.47-2.48
Rh (0.5000, 0.5000, 0.0000)  4 Ge 2.48
Rh (0.0000, 0.0000, 0.0000)  4 Ge 2.48
Rh (0.5000, 0.0000, 0.6518)  3 Ge 2.47-2.66, 2 Sc 2.66
Rh (0.0000, 0.5000, 0.3482)  3 Ge 2.47-2.66, 2 Sc 2.66

## Properties
Symmetry = No. 115
DFT total energy = -7.042 eV/atom

=====

Entry 3:
Here is an optimized crystal structure of InCS3 from Alexandria via LeMat-Bulk. Energies are from GGA-PBE.

a b c (Å): 4.2520 4.2520 4.2520
angles (deg): 90.00 90.00 90.00
Closest atoms and distances in Å follow each position.
Fractional coordinates of all 5 atoms:
S (0.0000, 0.5000, 0.0000)  2 C 2.13
S (0.0000, 0.0000, 0.5000)  2 C 2.13
S (0.5000, 0.0000, 0.0000)  2 C 2.13
C (0.0000, 0.0000, 0.0000)  6 S 2.13
In (0.5000, 0.5000, 0.5000)  12 S 3.01

## Properties
Formation energy without anion corrections = 934 meV/atom
Symmetry = No. 221
Excess energy over the best structure of this formula in the dataset = 0 meV/atom

=====

no.,magnetic moment (μB/f.u.)
1,0.00
2,1.31
3,0.00